(1)
# CsBeAs2Br

A relaxed CsBeAs2Br crystal (PBE, Alexandria via LeMat-Bulk).

a = 7.5810 Å, b = 7.5810 Å, c = 6.5850 Å
α = 90.00°, β = 90.00°, γ = 90.00°
With the nearest neighbours (Å) after each atom.
Atoms (fractional coordinates):
As (0.5000, 0.0000, 0.0000)  2 Cs 3.79
As (0.0000, 0.5000, 0.0000)  2 Cs 3.79
Cs (0.0000, 0.0000, 0.0000)  2 Br 3.29
Br (0.0000, 0.0000, 0.5000)  2 Cs 3.29
Be (0.5000, 0.5000, 0.5000)  8 As 5.02, 4 Br 5.36

electronic total energy: -8.76 eV per cell
E_form (uncorrected): 1358 meV/atom
space-group type: P4/mmm
calculated volume: 378.5 Å³/f.u.

=====

(2)
# Nd14ThIn

A relaxed Nd14ThIn crystal (PBE, Alexandria via LeMat-Bulk).

a = 7.2731 Å, b = 7.2731 Å, c = 10.2781 Å
α = 90.00°, β = 90.00°, γ = 89.99°
With the nearest neighbours (Å) after each atom.
Atoms (fractional coordinates):
Nd (0.1259, 0.8741, 0.7583)  1 In 3.56, 1 Th 3.58, 10 Nd 3.60-3.70
Nd (0.1259, 0.8741, 0.2417)  1 In 3.56, 1 Th 3.58, 10 Nd 3.60-3.70
Nd (0.8710, 0.6221, 0.0000)  8 Nd 3.57-3.60, 2 In 3.61-3.66, 2 Th 3.62-3.65
Nd (0.8751, 0.1249, 0.5000)  12 Nd 3.63-3.70
Th (0.8757, 0.1243, 0.0000)  12 Nd 3.58-3.65
Nd (0.3740, 0.1236, 0.5000)  12 Nd 3.63-3.69
Nd (0.3779, 0.1290, 0.0000)  8 Nd 3.57-3.60, 2 In 3.61-3.66, 2 Th 3.62-3.65
Nd (0.6243, 0.8742, 0.7569)  1 In 3.58, 10 Nd 3.58-3.69, 1 Th 3.59
Nd (0.8764, 0.6260, 0.5000)  12 Nd 3.63-3.69
Nd (0.1258, 0.3757, 0.2431)  1 In 3.58, 10 Nd 3.58-3.69, 1 Th 3.59
Nd (0.1258, 0.3757, 0.7569)  1 In 3.58, 10 Nd 3.58-3.69, 1 Th 3.59
In (0.3742, 0.6258, 0.0000)  12 Nd 3.56-3.66
Nd (0.6243, 0.8742, 0.2431)  1 In 3.58, 10 Nd 3.58-3.69, 1 Th 3.59
Nd (0.3751, 0.6249, 0.5000)  12 Nd 3.63-3.69
Nd (0.6242, 0.3758, 0.7556)  10 Nd 3.57-3.68, 1 In 3.59, 1 Th 3.61
Nd (0.6242, 0.3758, 0.2444)  10 Nd 3.57-3.68, 1 In 3.59, 1 Th 3.61

electronic total energy: -77.30 eV per cell
energy of formation from the pure elements: -25 meV per atom
space-group type: Amm2
calculated volume: 543.7 Å³/f.u.

=====

(3)
# Ho4HgPdRh2

A relaxed Ho4HgPdRh2 crystal (PBE, Alexandria via LeMat-Bulk).

a = 4.9449 Å, b = 4.9449 Å, c = 8.6333 Å
α = 73.36°, β = 73.36°, γ = 60.00°
With the nearest neighbours (Å) after each atom.
Atoms (fractional coordinates):
Ho (0.8717, 0.8717, 0.3848)  4 Rh 2.93-3.04, 3 Pd 3.01, 1 Hg 3.14
Rh (0.2480, 0.2480, 0.2559)  8 Ho 2.93-3.22
Ho (0.1283, 0.1283, 0.6152)  4 Rh 2.93-3.04, 3 Pd 3.01, 1 Hg 3.14
Ho (0.3798, 0.3798, 0.8607)  1 Pd 2.94, 4 Rh 3.01-3.22, 3 Hg 3.07
Pd (0.5000, 0.5000, 0.5000)  8 Ho 2.94-3.01
Hg (0.0000, 0.0000, 0.0000)  8 Ho 3.07-3.14
Ho (0.6202, 0.6202, 0.1393)  1 Pd 2.94, 4 Rh 3.01-3.22, 3 Hg 3.07
Rh (0.7520, 0.7520, 0.7441)  8 Ho 2.93-3.22

electronic total energy: -44.64 eV per cell
energy of formation from the pure elements: -767 meV per atom
space-group type: R-3m
calculated volume: 172.5 Å³/f.u.

=====

(4)
# KTaSn3

A relaxed KTaSn3 crystal (PBE, Alexandria via LeMat-Bulk).

a = 5.4722 Å, b = 5.4722 Å, c = 5.4722 Å
α = 90.00°, β = 90.00°, γ = 90.00°
With the nearest neighbours (Å) after each atom.
Atoms (fractional coordinates):
Sn (0.0000, 0.5000, 0.0000)  2 K 2.74
Ta (0.5000, 0.5000, 0.5000)  12 Sn 3.87
Sn (0.5000, 0.0000, 0.0000)  2 K 2.74
K (0.0000, 0.0000, 0.0000)  6 Sn 2.74
Sn (0.0000, 0.0000, 0.5000)  2 K 2.74

electronic total energy: -14.79 eV per cell
energy of formation from the pure elements: 2034 meV per atom
space-group type: Pm-3m
calculated volume: 163.9 Å³/f.u.

=====

(5)
# Nd2YCu3

A relaxed Nd2YCu3 crystal (PBE, Alexandria via LeMat-Bulk).

a = 5.0359 Å, b = 5.0359 Å, c = 6.1548 Å
α = 90.00°, β = 90.00°, γ = 120.00°
With the nearest neighbours (Å) after each atom.
Atoms (fractional coordinates):
Cu (0.6667, 0.3333, 0.8429)  5 Nd 3.00-3.16, 3 Y 3.06
Nd (0.3333, 0.6667, 0.6702)  8 Cu 3.00-3.16
Cu (0.0000, 0.0000, 0.5000)  2 Y 3.08, 6 Nd 3.09
Nd (0.6667, 0.3333, 0.3298)  8 Cu 3.00-3.16
Y (0.0000, 0.0000, 0.0000)  8 Cu 3.06-3.08
Cu (0.3333, 0.6667, 0.1571)  5 Nd 3.00-3.16, 3 Y 3.06

electronic total energy: -29.32 eV per cell
energy of formation from the pure elements: -171 meV per atom
space-group type: P-3m1
calculated volume: 135.2 Å³/f.u.

=====

(6)
# LiSb2

A relaxed LiSb2 crystal (PBE, Alexandria via LeMat-Bulk).

a = 6.7111 Å, b = 6.7111 Å, c = 7.2554 Å
α = 80.96°, β = 80.96°, γ = 27.37°
With the nearest neighbours (Å) after each atom.
Atoms (fractional coordinates):
Sb (0.1553, 0.1553, 0.9079)  4 Li 2.94-3.07, 3 Sb 3.06-3.18
Sb (0.8814, 0.8814, 0.4983)  4 Sb 3.06-3.18, 4 Li 3.08-3.09
Li (0.4726, 0.4726, 0.7993)  8 Sb 2.94-3.09, 3 Li 3.11-3.18
Sb (0.1186, 0.1186, 0.5017)  4 Sb 3.06-3.18, 4 Li 3.08-3.09
Sb (0.8447, 0.8447, 0.0921)  4 Li 2.94-3.07, 3 Sb 3.06-3.18
Li (0.5274, 0.5274, 0.2007)  8 Sb 2.94-3.09, 3 Li 3.11-3.18

electronic total energy: -21.27 eV per cell
E_form (uncorrected): -158 meV/atom
space-group type: C2/m
calculated volume: 74.1 Å³/f.u.

=====

(7)
# NaEuZnPt

A relaxed NaEuZnPt crystal (PBE, Alexandria via LeMat-Bulk).

a = 5.0338 Å, b = 5.0338 Å, c = 5.0338 Å
α = 60.00°, β = 60.00°, γ = 60.00°
With the nearest neighbours (Å) after each atom.
Atoms (fractional coordinates):
Eu (0.2500, 0.2500, 0.2500)  4 Zn 3.08, 4 Pt 3.08
Zn (0.0000, 0.0000, 0.0000)  4 Na 3.08, 4 Eu 3.08
Pt (0.5000, 0.5000, 0.5000)  4 Eu 3.08, 4 Na 3.08
Na (0.7500, 0.7500, 0.7500)  4 Pt 3.08, 4 Zn 3.08

electronic total energy: -20.19 eV per cell
energy of formation from the pure elements: -322 meV per atom
space-group type: F-43m
calculated volume: 90.2 Å³/f.u.

=====

(8)
# RbHg3N

A relaxed RbHg3N crystal (PBE, Alexandria via LeMat-Bulk).

a = 5.1733 Å, b = 5.1733 Å, c = 5.1733 Å
α = 90.00°, β = 90.00°, γ = 90.00°
With the nearest neighbours (Å) after each atom.
Atoms (fractional coordinates):
N (0.0000, 0.0000, 0.0000)  6 Hg 2.59
Rb (0.5000, 0.5000, 0.5000)  12 Hg 3.66
Hg (0.0000, 0.0000, 0.5000)  2 N 2.59
Hg (0.0000, 0.5000, 0.0000)  2 N 2.59
Hg (0.5000, 0.0000, 0.0000)  2 N 2.59

electronic total energy: -7.08 eV per cell
E_form (uncorrected): 624 meV/atom
space-group type: Pm-3m
calculated volume: 138.5 Å³/f.u.

=====

(9)
# MnGa2Ag

A relaxed MnGa2Ag crystal (PBE, Alexandria via LeMat-Bulk).

a = 4.2257 Å, b = 4.2257 Å, c = 5.1919 Å
α = 65.99°, β = 65.99°, γ = 60.00°
With the nearest neighbours (Å) after each atom.
Atoms (fractional coordinates):
Ga (0.0620, 0.0620, 0.8141)  3 Mn 2.52, 3 Ag 2.75, 1 Ga 2.81
Mn (0.6840, 0.6840, 0.9481)  6 Ga 2.52-2.70, 1 Ag 2.70
Ga (0.2667, 0.2667, 0.2000)  3 Mn 2.70, 4 Ga 2.81-3.01, 3 Ag 2.89
Ag (0.4874, 0.4874, 0.5378)  1 Mn 2.70, 6 Ga 2.75-2.89

electronic total energy: -17.49 eV per cell
energy of formation from the pure elements: 146 meV per atom
space-group type: R3m
calculated volume: 70.9 Å³/f.u.

=====

(10)
# Na2Zn2Tc

A relaxed Na2Zn2Tc crystal (PBE, Alexandria via LeMat-Bulk).

a = 4.8978 Å, b = 4.8978 Å, c = 5.3273 Å
α = 62.63°, β = 62.63°, γ = 90.00°
With the nearest neighbours (Å) after each atom.
Atoms (fractional coordinates):
Tc (0.0000, 0.0000, 0.0000)  2 Na 2.94, 8 Zn 3.18
Na (0.6368, 0.6368, 0.7264)  1 Na 2.22
Na (0.3632, 0.3632, 0.2736)  1 Na 2.22
Zn (0.7500, 0.2500, 0.5000)  4 Na 2.61
Zn (0.2500, 0.7500, 0.5000)  4 Na 2.61

electronic total energy: -10.70 eV per cell
energy of formation from the pure elements: 971 meV per atom
space-group type: I4/mmm
calculated volume: 97.1 Å³/f.u.

=====

(11)
# CuRuRh2

A relaxed CuRuRh2 crystal (PBE, Alexandria via LeMat-Bulk).

a = 4.5271 Å, b = 4.5271 Å, c = 2.7410 Å
α = 90.00°, β = 90.00°, γ = 90.00°
With the nearest neighbours (Å) after each atom.
Atoms (fractional coordinates):
Rh (0.5000, 0.5000, 0.0000)  4 Ru 2.65, 4 Cu 2.65, 2 Rh 2.74
Rh (0.0000, 0.0000, 0.0000)  4 Cu 2.65, 4 Ru 2.65, 2 Rh 2.74
Ru (0.5000, 0.0000, 0.5000)  8 Rh 2.65, 2 Ru 2.74
Cu (0.0000, 0.5000, 0.5000)  8 Rh 2.65, 2 Cu 2.74

electronic total energy: -27.02 eV per cell
energy of formation from the pure elements: 264 meV per atom
space-group type: P4/mmm
calculated volume: 56.2 Å³/f.u.

=====

(12)
# ErIn6Cu6

A relaxed ErIn6Cu6 crystal (PBE, Alexandria via LeMat-Bulk).

a = 5.4897 Å, b = 7.0740 Å, c = 7.0740 Å
α = 81.14°, β = 67.17°, γ = 67.17°
With the nearest neighbours (Å) after each atom.
Atoms (fractional coordinates):
In (0.6590, 0.3410, 0.3410)  6 Cu 2.81-2.83, 3 In 2.94-3.12
In (0.6800, 0.8200, 0.8200)  6 Cu 2.75-2.76
In (0.0000, 0.3369, 0.6631)  6 Cu 2.80-2.89, 1 In 3.00, 1 Er 3.10
Cu (0.5000, 0.2377, 0.7623)  4 Cu 2.69, 6 In 2.75-2.89
Cu (0.5000, 0.0000, 0.5000)  4 Cu 2.69-2.74, 6 In 2.76-2.81
Cu (0.0000, 0.0000, 0.5000)  4 Cu 2.69-2.74, 6 In 2.76-2.81
In (0.3410, 0.6590, 0.6590)  6 Cu 2.81-2.83, 3 In 2.94-3.12
Cu (0.0000, 0.5000, 0.0000)  4 Cu 2.69-2.74, 6 In 2.76-2.81
Cu (0.5000, 0.7623, 0.2377)  4 Cu 2.69, 6 In 2.75-2.89
Er (0.0000, 0.0000, 0.0000)  8 In 3.10-3.21
In (0.0000, 0.6631, 0.3369)  6 Cu 2.80-2.89, 1 In 3.00, 1 Er 3.10
Cu (0.5000, 0.5000, 0.0000)  4 Cu 2.69-2.74, 6 In 2.76-2.81
In (0.3200, 0.1800, 0.1800)  6 Cu 2.75-2.76

electronic total energy: -47.24 eV per cell
energy of formation from the pure elements: -128 meV per atom
space-group type: Immm
calculated volume: 233.3 Å³/f.u.